A relaxed Nd4ScZn crystal. Source: the Alexandria database, functional PBE-GGA.

- Raw total energy: -4.52 eV/atom

CIF file:
```
data_Nd4ScZn
_cell_length_a 3.649
_cell_length_b 3.649
_cell_length_c 13.557
_cell_angle_alpha 90.00
_cell_angle_beta 90.00
_cell_angle_gamma 90.00
_symmetry_space_group_name_H-M 'P 1'
_symmetry_Int_Tables_number 1
loop_
_symmetry_equiv_pos_as_xyz
'x,y,z'
loop_
_atom_site_label
_atom_site_type_symbol
_atom_site_fract_x
_atom_site_fract_y
_atom_site_fract_z
_atom_site_occupancy
Nd1 Nd 0.000 0.000 0.137 1
Nd2 Nd 0.000 0.000 0.863 1
Nd3 Nd 0.500 0.500 0.331 1
Nd4 Nd 0.500 0.500 0.669 1
Sc1 Sc 0.000 0.000 0.500 1
Zn1 Zn 0.500 0.500 0.000 1
```

***

A relaxed RbBeO2 crystal. Source: the Alexandria database, functional PBE-GGA.

- Raw formation energy: -0.757 eV per atom

CIF file:
```
data_RbBeO2
_cell_length_a 6.717
_cell_length_b 6.717
_cell_length_c 6.717
_cell_angle_alpha 25.60
_cell_angle_beta 25.60
_cell_angle_gamma 25.60
_symmetry_space_group_name_H-M 'P 1'
_symmetry_Int_Tables_number 1
loop_
_symmetry_equiv_pos_as_xyz
'x,y,z'
loop_
_atom_site_label
_atom_site_type_symbol
_atom_site_fract_x
_atom_site_fract_y
_atom_site_fract_z
_atom_site_occupancy
Rb1 Rb 0.000 0.000 0.000 1
Be1 Be 0.500 0.500 0.500 1
O1 O 0.123 0.123 0.123 1
O2 O 0.877 0.877 0.877 1
```

***

A relaxed Tm2CdPb9 crystal. Source: the Alexandria database, functional PBE-GGA.

- Raw total energy: -3.73 eV/atom

CIF file:
```
data_Tm2CdPb9
_cell_length_a 4.765
_cell_length_b 4.765
_cell_length_c 15.395
_cell_angle_alpha 90.00
_cell_angle_beta 90.00
_cell_angle_gamma 90.00
_symmetry_space_group_name_H-M 'P 1'
_symmetry_Int_Tables_number 1
loop_
_symmetry_equiv_pos_as_xyz
'x,y,z'
loop_
_atom_site_label
_atom_site_type_symbol
_atom_site_fract_x
_atom_site_fract_y
_atom_site_fract_z
_atom_site_occupancy
Tm1 Tm 0.000 0.000 0.154 1
Tm2 Tm 0.000 0.000 0.846 1
Cd1 Cd 0.000 0.000 0.500 1
Pb1 Pb 0.000 0.500 0.000 1
Pb2 Pb 0.000 0.500 0.330 1
Pb3 Pb 0.000 0.500 0.670 1
Pb4 Pb 0.500 0.000 0.000 1
Pb5 Pb 0.500 0.000 0.330 1
Pb6 Pb 0.500 0.000 0.670 1
Pb7 Pb 0.500 0.500 0.168 1
Pb8 Pb 0.500 0.500 0.500 1
Pb9 Pb 0.500 0.500 0.832 1
```

***

A relaxed Cs3IrPb crystal. Source: the Alexandria database, functional PBE-GGA.

- Raw total energy: -2.32 eV/atom

CIF file:
```
data_Cs3IrPb
_cell_length_a 6.347
_cell_length_b 6.347
_cell_length_c 6.347
_cell_angle_alpha 90.00
_cell_angle_beta 90.00
_cell_angle_gamma 90.00
_symmetry_space_group_name_H-M 'P 1'
_symmetry_Int_Tables_number 1
loop_
_symmetry_equiv_pos_as_xyz
'x,y,z'
loop_
_atom_site_label
_atom_site_type_symbol
_atom_site_fract_x
_atom_site_fract_y
_atom_site_fract_z
_atom_site_occupancy
Cs1 Cs 0.000 0.000 0.500 1
Cs2 Cs 0.000 0.500 0.000 1
Cs3 Cs 0.500 0.000 0.000 1
Ir1 Ir 0.000 0.000 0.000 1
Pb1 Pb 0.500 0.500 0.500 1
```

***

A relaxed Nd3Sm2Tm6 crystal. Source: the Alexandria database, functional PBE-GGA.

- Offset from the most stable computed form: 70 meV/atom

CIF file:
```
data_Nd3Sm2Tm6
_cell_length_a 16.872
_cell_length_b 16.872
_cell_length_c 16.872
_cell_angle_alpha 163.83
_cell_angle_beta 163.83
_cell_angle_gamma 22.95
_symmetry_space_group_name_H-M 'P 1'
_symmetry_Int_Tables_number 1
loop_
_symmetry_equiv_pos_as_xyz
'x,y,z'
loop_
_atom_site_label
_atom_site_type_symbol
_atom_site_fract_x
_atom_site_fract_y
_atom_site_fract_z
_atom_site_occupancy
Nd1 Nd 0.000 0.000 0.000 1
Nd2 Nd 0.205 0.205 0.000 1
Nd3 Nd 0.795 0.795 0.000 1
Sm1 Sm 0.454 0.454 0.000 1
Sm2 Sm 0.546 0.546 0.000 1
Tm1 Tm 0.121 0.621 0.500 1
Tm2 Tm 0.309 0.309 0.000 1
Tm3 Tm 0.379 0.879 0.500 1
Tm4 Tm 0.621 0.121 0.500 1
Tm5 Tm 0.691 0.691 0.000 1
Tm6 Tm 0.879 0.379 0.500 1
```

***

A relaxed Li2Pb2F7 crystal. Source: the Alexandria database, functional PBE-GGA.

- Raw formation energy: -2.410 eV per atom

CIF file:
```
data_Li2Pb2F7
_cell_length_a 5.091
_cell_length_b 5.803
_cell_length_c 5.806
_cell_angle_alpha 94.88
_cell_angle_beta 95.18
_cell_angle_gamma 95.05
_symmetry_space_group_name_H-M 'P 1'
_symmetry_Int_Tables_number 1
loop_
_symmetry_equiv_pos_as_xyz
'x,y,z'
loop_
_atom_site_label
_atom_site_type_symbol
_atom_site_fract_x
_atom_site_fract_y
_atom_site_fract_z
_atom_site_occupancy
Li1 Li 0.038 0.272 0.272 1
Li2 Li 0.962 0.728 0.728 1
Pb1 Pb 0.499 0.224 0.776 1
Pb2 Pb 0.501 0.776 0.224 1
F1 F 0.000 0.500 0.500 1
F2 F 0.264 0.900 0.900 1
F3 F 0.265 0.060 0.409 1
F4 F 0.265 0.410 0.060 1
F5 F 0.735 0.590 0.940 1
F6 F 0.735 0.940 0.591 1
F7 F 0.736 0.100 0.100 1
```

***

A relaxed LiCuHSO5 crystal. Source: the Alexandria database, functional PBE-GGA.

- Raw total energy: -5.57 eV/atom

CIF file:
```
data_LiCuHSO5
_cell_length_a 4.808
_cell_length_b 5.710
_cell_length_c 7.741
_cell_angle_alpha 90.00
_cell_angle_beta 93.32
_cell_angle_gamma 90.00
_symmetry_space_group_name_H-M 'P 1'
_symmetry_Int_Tables_number 1
loop_
_symmetry_equiv_pos_as_xyz
'x,y,z'
loop_
_atom_site_label
_atom_site_type_symbol
_atom_site_fract_x
_atom_site_fract_y
_atom_site_fract_z
_atom_site_occupancy
Li1 Li 0.229 0.250 0.341 1
Li2 Li 0.771 0.750 0.659 1
Cu1 Cu 0.000 0.000 0.000 1
Cu2 Cu 0.000 0.500 0.000 1
H1 H 0.281 0.750 0.816 1
H2 H 0.719 0.250 0.184 1
S1 S 0.411 0.250 0.738 1
S2 S 0.589 0.750 0.262 1
O1 O 0.084 0.750 0.844 1
O2 O 0.214 0.250 0.588 1
O3 O 0.243 0.250 0.906 1
O4 O 0.418 0.535 0.248 1
O5 O 0.418 0.965 0.248 1
O6 O 0.582 0.035 0.752 1
O7 O 0.582 0.465 0.752 1
O8 O 0.757 0.750 0.094 1
O9 O 0.786 0.750 0.412 1
O10 O 0.916 0.250 0.156 1
```

***

A relaxed La2Tb5Sm2 crystal. Source: the Alexandria database, functional PBE-GGA.

- Offset from the most stable computed form: 23 meV/atom

CIF file:
```
data_La2Tb5Sm2
_cell_length_a 11.088
_cell_length_b 11.088
_cell_length_c 8.386
_cell_angle_alpha 100.19
_cell_angle_beta 100.19
_cell_angle_gamma 18.26
_symmetry_space_group_name_H-M 'P 1'
_symmetry_Int_Tables_number 1
loop_
_symmetry_equiv_pos_as_xyz
'x,y,z'
loop_
_atom_site_label
_atom_site_type_symbol
_atom_site_fract_x
_atom_site_fract_y
_atom_site_fract_z
_atom_site_occupancy
La1 La 0.182 0.182 0.146 1
La2 La 0.818 0.818 0.854 1
Tb1 Tb 0.000 0.000 0.000 1
Tb2 Tb 0.098 0.098 0.738 1
Tb3 Tb 0.310 0.310 0.469 1
Tb4 Tb 0.690 0.690 0.531 1
Tb5 Tb 0.902 0.902 0.262 1
Sm1 Sm 0.454 0.454 0.643 1
Sm2 Sm 0.546 0.546 0.357 1
```

***

A relaxed HfFe2I crystal. Source: the Alexandria database, functional PBE-GGA.

- Raw formation energy: 0.802 eV per atom
- Offset from the most stable computed form: 219 meV/atom

CIF file:
```
data_HfFe2I
_cell_length_a 9.152
_cell_length_b 9.152
_cell_length_c 9.152
_cell_angle_alpha 153.83
_cell_angle_beta 153.83
_cell_angle_gamma 37.34
_symmetry_space_group_name_H-M 'P 1'
_symmetry_Int_Tables_number 1
loop_
_symmetry_equiv_pos_as_xyz
'x,y,z'
loop_
_atom_site_label
_atom_site_type_symbol
_atom_site_fract_x
_atom_site_fract_y
_atom_site_fract_z
_atom_site_occupancy
Hf1 Hf 0.000 0.000 0.000 1
Hf2 Hf 0.750 0.250 0.500 1
Fe1 Fe 0.129 0.625 0.004 1
Fe2 Fe 0.375 0.379 0.504 1
Fe3 Fe 0.621 0.125 0.996 1
Fe4 Fe 0.875 0.871 0.496 1
I1 I 0.250 0.750 0.500 1
I2 I 0.500 0.500 0.000 1
```

***

A relaxed Ac2InBi3Pd6 crystal. Source: the Alexandria database, functional PBE-GGA.

- Raw total energy: -4.87 eV/atom

CIF file:
```
data_Ac2InBi3Pd6
_cell_length_a 4.389
_cell_length_b 4.389
_cell_length_c 16.970
_cell_angle_alpha 90.00
_cell_angle_beta 90.00
_cell_angle_gamma 90.00
_symmetry_space_group_name_H-M 'P 1'
_symmetry_Int_Tables_number 1
loop_
_symmetry_equiv_pos_as_xyz
'x,y,z'
loop_
_atom_site_label
_atom_site_type_symbol
_atom_site_fract_x
_atom_site_fract_y
_atom_site_fract_z
_atom_site_occupancy
Ac1 Ac 0.000 0.000 0.203 1
Ac2 Ac 0.000 0.000 0.797 1
In1 In 0.000 0.000 0.500 1
Bi1 Bi 0.500 0.500 0.000 1
Bi2 Bi 0.500 0.500 0.312 1
Bi3 Bi 0.500 0.500 0.688 1
Pd1 Pd 0.000 0.500 0.407 1
Pd2 Pd 0.000 0.500 0.593 1
Pd3 Pd 0.500 0.000 0.407 1
Pd4 Pd 0.500 0.000 0.593 1
Pd5 Pd 0.500 0.500 0.153 1
Pd6 Pd 0.500 0.500 0.847 1
```

***

A relaxed Rb2Li3PaF12 crystal. Source: the Alexandria database, functional PBE-GGA.

- Raw formation energy: -2.787 eV per atom

CIF file:
```
data_Rb2Li3PaF12
_cell_length_a 6.830
_cell_length_b 6.830
_cell_length_c 6.830
_cell_angle_alpha 66.84
_cell_angle_beta 66.84
_cell_angle_gamma 66.84
_symmetry_space_group_name_H-M 'P 1'
_symmetry_Int_Tables_number 1
loop_
_symmetry_equiv_pos_as_xyz
'x,y,z'
loop_
_atom_site_label
_atom_site_type_symbol
_atom_site_fract_x
_atom_site_fract_y
_atom_site_fract_z
_atom_site_occupancy
Rb1 Rb 0.103 0.103 0.103 1
Rb2 Rb 0.897 0.897 0.897 1
Li1 Li 0.000 0.500 0.500 1
Li2 Li 0.500 0.000 0.500 1
Li3 Li 0.500 0.500 0.000 1
Pa1 Pa 0.500 0.500 0.500 1
F1 F 0.124 0.634 0.634 1
F2 F 0.257 0.257 0.599 1
F3 F 0.257 0.599 0.257 1
F4 F 0.366 0.366 0.876 1
F5 F 0.366 0.876 0.366 1
F6 F 0.401 0.743 0.743 1
F7 F 0.599 0.257 0.257 1
F8 F 0.634 0.124 0.634 1
F9 F 0.634 0.634 0.124 1
F10 F 0.743 0.401 0.743 1
F11 F 0.743 0.743 0.401 1
F12 F 0.876 0.366 0.366 1
```

***

Quick rundown of size of the total moment, same order as above: 0.000; 1.000; 0.000; 3.731; 0.000; 0.000; 2.006; 0.000; 6.361; 0.000; 2.113 μB per cell